HfVB2 | PBE | optimized geometry

The calculated formation energy comes out at 0.145 eV/atom. The crystal system is cubic. The total energy comes out at -7.9614 eV/atom. The calculation puts the magnetization at 2.13 μB/f.u.

POSCAR file:
```
HfVB2
1.0
0.0000 2.8471 2.8471
2.8471 0.0000 2.8471
2.8471 2.8471 0.0000
Hf V B
1 1 2
Direct
0.0000 0.0000 0.0000 Hf
0.5000 0.5000 0.5000 V
0.2500 0.2500 0.2500 B
0.7500 0.7500 0.7500 B
```



HfVB2W | PBE | optimized geometry

The calculated formation energy comes out at 2.165 eV/atom. The crystal system is tetragonal. The total energy comes out at -6.9115 eV/atom. The calculation puts the magnetization at 0.00 μB/f.u.

POSCAR file:
```
HfVB2W
1.0
4.1691 0.0000 0.0000
0.0000 4.1691 0.0000
0.0000 0.0000 4.5731
Hf V B W
1 1 2 1
Direct
0.0000 0.0000 0.0000 Hf
0.0000 0.0000 0.5000 V
0.0000 0.5000 0.0000 B
0.5000 0.0000 0.0000 B
0.5000 0.5000 0.5000 W
```



HfB2W2 | PBE | optimized geometry

The calculated formation energy comes out at -0.365 eV/atom. The crystal system is tetragonal. The total energy comes out at -10.2081 eV/atom. The calculation puts the magnetization at 0.00 μB/f.u.

POSCAR file:
```
HfB2W2
1.0
6.2037 0.0000 0.0000
0.0000 6.2037 0.0000
0.0000 0.0000 3.2315
Hf B W
2 4 4
Direct
0.0000 0.0000 0.0000 Hf
0.5000 0.5000 0.0000 Hf
0.1092 0.3908 0.0000 B
0.3908 0.8908 0.0000 B
0.6092 0.1092 0.0000 B
0.8908 0.6092 0.0000 B
0.1702 0.6702 0.5000 W
0.3298 0.1702 0.5000 W
0.6702 0.8298 0.5000 W
0.8298 0.3298 0.5000 W
```



HfB3W | PBE | optimized geometry

The calculated formation energy comes out at 0.706 eV/atom. The crystal system is cubic. The total energy comes out at -7.8813 eV/atom. The calculation puts the magnetization at 0.00 μB/f.u.

POSCAR file:
```
HfB3W
1.0
4.0796 0.0000 0.0000
0.0000 4.0796 0.0000
0.0000 0.0000 4.0796
Hf B W
1 3 1
Direct
0.0000 0.0000 0.0000 Hf
0.0000 0.5000 0.5000 B
0.5000 0.0000 0.5000 B
0.5000 0.5000 0.0000 B
0.5000 0.5000 0.5000 W
```



Hf3BW | PBE | optimized geometry

The calculated formation energy comes out at 1.790 eV/atom. The crystal system is cubic. The total energy comes out at -8.1086 eV/atom. The calculation puts the magnetization at 0.00 μB/f.u.

POSCAR file:
```
Hf3BW
1.0
5.0085 0.0000 0.0000
0.0000 5.0085 0.0000
0.0000 0.0000 5.0085
Hf B W
3 1 1
Direct
0.0000 0.0000 0.5000 Hf
0.0000 0.5000 0.0000 Hf
0.5000 0.0000 0.0000 Hf
0.5000 0.5000 0.5000 B
0.0000 0.0000 0.0000 W
```



Hf9BW4 | PBE | optimized geometry

The calculated formation energy comes out at -0.167 eV/atom. The crystal system is hexagonal. The total energy comes out at -10.7433 eV/atom. The calculation puts the magnetization at 0.00 μB/f.u.

POSCAR file:
```
Hf9BW4
1.0
8.5806 0.0000 0.0000
-4.2903 7.4310 0.0000
0.0000 0.0000 8.5545
Hf B W
18 2 8
Direct
0.0798 0.5399 0.2500 Hf
0.2029 0.4058 0.5560 Hf
0.2029 0.4058 0.9440 Hf
0.2029 0.7971 0.5560 Hf
0.2029 0.7971 0.9440 Hf
0.4058 0.2029 0.0560 Hf
0.4058 0.2029 0.4440 Hf
0.4601 0.5399 0.2500 Hf
0.4601 0.9202 0.2500 Hf
0.5399 0.0798 0.7500 Hf
0.5399 0.4601 0.7500 Hf
0.5942 0.7971 0.5560 Hf
0.5942 0.7971 0.9440 Hf
0.7971 0.2029 0.0560 Hf
0.7971 0.2029 0.4440 Hf
0.7971 0.5942 0.0560 Hf
0.7971 0.5942 0.4440 Hf
0.9202 0.4601 0.7500 Hf
0.3333 0.6667 0.7500 B
0.6667 0.3333 0.2500 B
0.0000 0.0000 0.0000 W
0.0000 0.0000 0.5000 W
0.1114 0.2228 0.2500 W
0.1114 0.8886 0.2500 W
0.2228 0.1114 0.7500 W
0.7772 0.8886 0.2500 W
0.8886 0.1114 0.7500 W
0.8886 0.7772 0.7500 W
```



Hf2B2W | PBE | optimized geometry

The calculated formation energy comes out at -0.550 eV/atom. The crystal system is orthorhombic. The total energy comes out at -9.7932 eV/atom. The calculation puts the magnetization at 0.00 μB/f.u.

POSCAR file:
```
Hf2B2W
1.0
-1.6757 2.5668 3.9507
1.6757 -2.5668 3.9507
1.6757 2.5668 -3.9507
Hf B W
2 2 1
Direct
0.2104 0.2104 0.0000 Hf
0.7896 0.7896 0.0000 Hf
0.1782 0.5000 0.6782 B
0.8218 0.5000 0.3218 B
0.5000 0.0000 0.5000 W
```



Hf2B6W | PBE | optimized geometry

The calculated formation energy comes out at -0.713 eV/atom. The crystal system is hexagonal. The total energy comes out at -8.8162 eV/atom. The calculation puts the magnetization at 0.00 μB/f.u.

POSCAR file:
```
Hf2B6W
1.0
5.3832 0.0000 0.0000
-2.6916 4.6620 0.0000
0.0000 0.0000 3.4249
Hf B W
2 6 1
Direct
0.3333 0.6667 0.0000 Hf
0.6667 0.3333 0.0000 Hf
0.0000 0.3302 0.5000 B
0.0000 0.6698 0.5000 B
0.3302 0.0000 0.5000 B
0.3302 0.3302 0.5000 B
0.6698 0.0000 0.5000 B
0.6698 0.6698 0.5000 B
0.0000 0.0000 0.0000 W
```



HfB6W6 | PBE | optimized geometry

The calculated formation energy comes out at 0.291 eV/atom. The crystal system is orthorhombic. The total energy comes out at -9.5353 eV/atom. The calculation puts the magnetization at 0.00 μB/f.u.

POSCAR file:
```
HfB6W6
1.0
-2.3774 3.8958 4.1303
2.3774 -3.8958 4.1303
2.3774 3.8958 -4.1303
Hf B W
1 6 6
Direct
0.0000 0.0000 0.0000 Hf
0.0000 0.0000 0.5000 B
0.0000 0.5000 0.0000 B
0.2385 0.5000 0.7385 B
0.5000 0.0000 0.0000 B
0.5000 0.5000 0.5000 B
0.7615 0.5000 0.2615 B
0.1805 0.6805 0.5000 W
0.3394 0.0000 0.3394 W
0.3464 0.3464 0.0000 W
0.6536 0.6536 0.0000 W
0.6606 0.0000 0.6606 W
0.8195 0.3195 0.5000 W
```



Hf9B2W3 | PBE | optimized geometry

The calculated formation energy comes out at -0.086 eV/atom. The crystal system is hexagonal. The total energy comes out at -10.2146 eV/atom. The calculation puts the magnetization at 0.00 μB/f.u.

POSCAR file:
```
Hf9B2W3
1.0
8.4175 0.0000 0.0000
-4.2087 7.2898 0.0000
0.0000 0.0000 8.4605
Hf B W
18 4 6
Direct
0.0813 0.5406 0.2500 Hf
0.2006 0.4012 0.5551 Hf
0.2006 0.4012 0.9449 Hf
0.2006 0.7994 0.5551 Hf
0.2006 0.7994 0.9449 Hf
0.4012 0.2006 0.0551 Hf
0.4012 0.2006 0.4449 Hf
0.4594 0.5406 0.2500 Hf
0.4594 0.9187 0.2500 Hf
0.5406 0.0813 0.7500 Hf
0.5406 0.4594 0.7500 Hf
0.5988 0.7994 0.5551 Hf
0.5988 0.7994 0.9449 Hf
0.7994 0.2006 0.0551 Hf
0.7994 0.2006 0.4449 Hf
0.7994 0.5988 0.0551 Hf
0.7994 0.5988 0.4449 Hf
0.9187 0.4594 0.7500 Hf
0.0000 0.0000 0.0000 B
0.0000 0.0000 0.5000 B
0.3333 0.6667 0.7500 B
0.6667 0.3333 0.2500 B
0.1080 0.2159 0.2500 W
0.1080 0.8920 0.2500 W
0.2159 0.1080 0.7500 W
0.7841 0.8920 0.2500 W
0.8920 0.1080 0.7500 W
0.8920 0.7841 0.7500 W
```



HfB3W | PBE | optimized geometry

The calculated formation energy comes out at -0.420 eV/atom. The crystal system is orthorhombic. The total energy comes out at -9.0079 eV/atom. The calculation puts the magnetization at 0.00 μB/f.u.

POSCAR file:
```
HfB3W
1.0
1.6923 -9.8284 0.0000
1.6923 9.8284 0.0000
0.0000 0.0000 3.1236
Hf B W
2 6 2
Direct
0.1997 0.8003 0.7500 Hf
0.8003 0.1997 0.2500 Hf
0.3427 0.6573 0.7500 B
0.3886 0.6114 0.2500 B
0.4781 0.5219 0.2500 B
0.5219 0.4781 0.7500 B
0.6114 0.3886 0.7500 B
0.6573 0.3427 0.2500 B
0.0652 0.9348 0.2500 W
0.9348 0.0652 0.7500 W
```



HfB3W | PBE | optimized geometry

The calculated formation energy comes out at 2.061 eV/atom. The crystal system is cubic. The total energy comes out at -6.5273 eV/atom. The calculation puts the magnetization at 0.00 μB/f.u.

POSCAR file:
```
HfB3W
1.0
4.1099 0.0000 0.0000
0.0000 4.1099 0.0000
0.0000 0.0000 4.1099
Hf B W
1 3 1
Direct
0.0000 0.0000 0.0000 Hf
0.0000 0.0000 0.5000 B
0.0000 0.5000 0.0000 B
0.5000 0.0000 0.0000 B
0.5000 0.5000 0.5000 W
```